No. 1
# LiLa2Y (GGA-PBE, relaxed)
data_LiLa2Y
_cell_length_a 3.7207
_cell_length_b 5.7211
_cell_length_c 11.8079
_cell_angle_alpha 90.00
_cell_angle_beta 90.00
_cell_angle_gamma 90.00
_space_group_name_H-M_alt 'I m m m'
_space_group_IT_number 71
_space_group_name_Hall '-I 2 2'
loop_
_atom_site_label
_atom_site_fract_x
_atom_site_fract_y
_atom_site_fract_z
Li1 0.0000 0.0000 0.0000
La1 0.0000 0.5000 0.2777
Y1 0.0000 0.0000 0.5000
# - DFT formation energy (eV per atom) = 0.08
# - relative energy among the computed polymorphs (eV/f.u.) = 0.08
# - size of the total moment (μB/cell) = 0.00
# - uncorrected energy (eV per atom) = -4.48
# - ρ (g/cm³) = 4.94


No. 2
# LiLa2Y (GGA-PBE, relaxed)
data_LiLa2Y
_cell_length_a 3.7183
_cell_length_b 3.7183
_cell_length_c 9.3640
_cell_angle_alpha 90.00
_cell_angle_beta 90.00
_cell_angle_gamma 90.00
_space_group_name_H-M_alt 'P 4/m m m'
_space_group_IT_number 123
_space_group_name_Hall '-P 4 2'
loop_
_atom_site_label
_atom_site_fract_x
_atom_site_fract_y
_atom_site_fract_z
Li1 0.0000 0.0000 0.0000
La1 0.5000 0.5000 0.2304
Y1 0.0000 0.0000 0.5000
# - DFT formation energy (eV per atom) = 0.07
# - relative energy among the computed polymorphs (eV/f.u.) = 0.05
# - size of the total moment (μB/cell) = 0.00
# - uncorrected energy (eV per atom) = -4.49
# - ρ (g/cm³) = 4.79


No. 3
# Li2La2Y (GGA-PBE, relaxed)
data_Li2La2Y
_cell_length_a 5.7110
_cell_length_b 5.7110
_cell_length_c 9.1747
_cell_angle_alpha 90.00
_cell_angle_beta 90.00
_cell_angle_gamma 90.00
_space_group_name_H-M_alt 'I 4/m m m'
_space_group_IT_number 139
_space_group_name_Hall '-I 4 2'
loop_
_atom_site_label
_atom_site_fract_x
_atom_site_fract_y
_atom_site_fract_z
Li1 0.0000 0.0000 0.1184
La1 0.0000 0.5000 0.2500
Y1 0.0000 0.0000 0.5000
# - DFT formation energy (eV per atom) = 0.25
# - relative energy among the computed polymorphs (eV/f.u.) = 0.42
# - size of the total moment (μB/cell) = 0.00
# - uncorrected energy (eV per atom) = -3.78
# - ρ (g/cm³) = 4.22


No. 4
# LiLa2Y (GGA-PBE, relaxed)
data_LiLa2Y
_cell_length_a 12.8700
_cell_length_b 3.8361
_cell_length_c 5.7570
_cell_angle_alpha 90.00
_cell_angle_beta 116.44
_cell_angle_gamma 90.00
_space_group_name_H-M_alt 'C 1 m 1'
_space_group_IT_number 8
loop_
_space_group_symop_operation_xyz
'x,y,z'
'x,-y,z'
'x+1/2,y+1/2,z'
'x+1/2,-y+1/2,z'
loop_
_atom_site_label
_atom_site_fract_x
_atom_site_fract_y
_atom_site_fract_z
Li1 0.0000 0.0000 0.0000
La1 0.2690 0.0000 0.7753
La2 0.4933 0.0000 0.4947
Y1 0.2189 0.5000 0.2252
# - DFT formation energy (eV per atom) = 0.07
# - relative energy among the computed polymorphs (eV/f.u.) = 0.04
# - size of the total moment (μB/cell) = 0.00
# - uncorrected energy (eV per atom) = -4.49
# - ρ (g/cm³) = 4.88


No. 5
# LiLa2Y (GGA-PBE, relaxed)
data_LiLa2Y
_cell_length_a 3.6352
_cell_length_b 3.6352
_cell_length_c 34.6182
_cell_angle_alpha 90.00
_cell_angle_beta 90.00
_cell_angle_gamma 120.00
_space_group_name_H-M_alt 'R -3 m'
_space_group_IT_number 166
_space_group_name_Hall '-R 3 2"'
loop_
_atom_site_label
_atom_site_fract_x
_atom_site_fract_y
_atom_site_fract_z
Li1 0.0000 0.0000 0.0000
La1 0.0000 0.0000 0.2516
Y1 0.0000 0.0000 0.5000
# - DFT formation energy (eV per atom) = 0.06
# - relative energy among the computed polymorphs (eV/f.u.) = 0.00
# - size of the total moment (μB/cell) = 0.00
# - uncorrected energy (eV per atom) = -4.50
# - ρ (g/cm³) = 4.70


No. 6
# Li2La2Y (GGA-PBE, relaxed)
data_Li2La2Y
_cell_length_a 9.0603
_cell_length_b 9.0603
_cell_length_c 3.6570
_cell_angle_alpha 90.00
_cell_angle_beta 90.00
_cell_angle_gamma 90.00
_space_group_name_H-M_alt 'P 4/m b m'
_space_group_IT_number 127
_space_group_name_Hall '-P 4 2ab'
loop_
_atom_site_label
_atom_site_fract_x
_atom_site_fract_y
_atom_site_fract_z
Li1 0.1061 0.3939 0.0000
La1 0.1945 0.6945 0.5000
Y1 0.0000 0.0000 0.0000
# - DFT formation energy (eV per atom) = 0.17
# - relative energy among the computed polymorphs (eV/f.u.) = 0.00
# - size of the total moment (μB/cell) = 0.00
# - uncorrected energy (eV per atom) = -3.86
# - ρ (g/cm³) = 4.21


No. 7
# LiLa2Y (GGA-PBE, relaxed)
data_LiLa2Y
_cell_length_a 3.6207
_cell_length_b 3.6207
_cell_length_c 34.5476
_cell_angle_alpha 90.00
_cell_angle_beta 90.00
_cell_angle_gamma 120.00
_space_group_name_H-M_alt 'R 3 m'
_space_group_IT_number 160
_space_group_name_Hall 'R 3 -2"'
loop_
_atom_site_label
_atom_site_fract_x
_atom_site_fract_y
_atom_site_fract_z
Li1 0.0000 0.0000 0.0000
La1 0.0000 0.0000 0.2507
La2 0.0000 0.0000 0.4967
Y1 0.0000 0.0000 0.7445
# - DFT formation energy (eV per atom) = 0.09
# - relative energy among the computed polymorphs (eV/f.u.) = 0.13
# - size of the total moment (μB/cell) = 0.03
# - uncorrected energy (eV per atom) = -4.47
# - ρ (g/cm³) = 4.75


No. 8
# LiLa2Y (GGA-PBE, relaxed)
data_LiLa2Y
_cell_length_a 7.9558
_cell_length_b 7.9558
_cell_length_c 7.9558
_cell_angle_alpha 90.00
_cell_angle_beta 90.00
_cell_angle_gamma 90.00
_space_group_name_H-M_alt 'F -4 3 m'
_space_group_IT_number 216
_space_group_name_Hall 'F -4 2 3'
loop_
_atom_site_label
_atom_site_fract_x
_atom_site_fract_y
_atom_site_fract_z
Li1 0.0000 0.0000 0.0000
La1 0.0000 0.0000 0.5000
La2 0.2500 0.2500 0.2500
Y1 0.2500 0.2500 0.7500
# - DFT formation energy (eV per atom) = 0.21
# - relative energy among the computed polymorphs (eV/f.u.) = 0.59
# - size of the total moment (μB/cell) = 8.42
# - uncorrected energy (eV per atom) = -4.35
# - ρ (g/cm³) = 4.93


No. 9
# LiLa2Y (GGA-PBE, relaxed)
data_LiLa2Y
_cell_length_a 3.6431
_cell_length_b 3.6431
_cell_length_c 34.6470
_cell_angle_alpha 90.00
_cell_angle_beta 90.00
_cell_angle_gamma 120.00
_space_group_name_H-M_alt 'R 3 m'
_space_group_IT_number 160
_space_group_name_Hall 'R 3 -2"'
loop_
_atom_site_label
_atom_site_fract_x
_atom_site_fract_y
_atom_site_fract_z
Li1 0.0000 0.0000 0.0000
La1 0.0000 0.0000 0.4164
La2 0.0000 0.0000 0.5850
Y1 0.0000 0.0000 0.1674
# - DFT formation energy (eV per atom) = 0.07
# - relative energy among the computed polymorphs (eV/f.u.) = 0.03
# - size of the total moment (μB/cell) = 0.00
# - uncorrected energy (eV per atom) = -4.49
# - ρ (g/cm³) = 4.67


No. 10
# LiLa2Y (GGA-PBE, relaxed)
data_LiLa2Y
_cell_length_a 8.2823
_cell_length_b 8.3758
_cell_length_c 3.7860
_cell_angle_alpha 90.00
_cell_angle_beta 90.00
_cell_angle_gamma 90.00
_space_group_name_H-M_alt 'C m m m'
_space_group_IT_number 65
_space_group_name_Hall '-C 2 2'
loop_
_atom_site_label
_atom_site_fract_x
_atom_site_fract_y
_atom_site_fract_z
Li1 0.0000 0.0000 0.0000
La1 0.2500 0.2500 0.5000
Y1 0.0000 0.5000 0.0000
# - DFT formation energy (eV per atom) = 0.11
# - relative energy among the computed polymorphs (eV/f.u.) = 0.20
# - size of the total moment (μB/cell) = 0.00
# - uncorrected energy (eV per atom) = -4.45
# - ρ (g/cm³) = 4.72


No. 11
# LiLa6Y (GGA-PBE, relaxed)
data_LiLa6Y
_cell_length_a 5.2407
_cell_length_b 5.2407
_cell_length_c 20.0489
_cell_angle_alpha 90.00
_cell_angle_beta 90.00
_cell_angle_gamma 90.00
_space_group_name_H-M_alt 'I 4/m m m'
_space_group_IT_number 139
_space_group_name_Hall '-I 4 2'
loop_
_atom_site_label
_atom_site_fract_x
_atom_site_fract_y
_atom_site_fract_z
Li1 0.0000 0.0000 0.0000
La1 0.0000 0.0000 0.2480
La2 0.0000 0.5000 0.1210
Y1 0.0000 0.0000 0.5000
# - DFT formation energy (eV per atom) = 0.08
# - size of the total moment (μB/cell) = 0.00
# - uncorrected energy (eV per atom) = -4.67
# - ρ (g/cm³) = 5.60


No. 12
# LiLa2Y (GGA-PBE, relaxed)
data_LiLa2Y
_cell_length_a 8.0509
_cell_length_b 8.0509
_cell_length_c 8.0509
_cell_angle_alpha 90.00
_cell_angle_beta 90.00
_cell_angle_gamma 90.00
_space_group_name_H-M_alt 'F m -3 m'
_space_group_IT_number 225
_space_group_name_Hall '-F 4 2 3'
loop_
_atom_site_label
_atom_site_fract_x
_atom_site_fract_y
_atom_site_fract_z
Li1 0.0000 0.0000 0.0000
La1 0.2500 0.2500 0.2500
Y1 0.0000 0.0000 0.5000
# - DFT formation energy (eV per atom) = 0.15
# - relative energy among the computed polymorphs (eV/f.u.) = 0.37
# - size of the total moment (μB/cell) = 0.00
# - uncorrected energy (eV per atom) = -4.41
# - ρ (g/cm³) = 4.76


No. 13
# LiLaY4 (GGA-PBE, relaxed)
data_LiLaY4
_cell_length_a 9.4306
_cell_length_b 9.4306
_cell_length_c 9.4306
_cell_angle_alpha 90.00
_cell_angle_beta 90.00
_cell_angle_gamma 90.00
_space_group_name_H-M_alt 'F -4 3 m'
_space_group_IT_number 216
_space_group_name_Hall 'F -4 2 3'
loop_
_atom_site_label
_atom_site_fract_x
_atom_site_fract_y
_atom_site_fract_z
Li1 0.0000 0.0000 0.0000
La1 0.2500 0.2500 0.2500
Y1 0.1242 0.1242 0.6242
# - DFT formation energy (eV per atom) = 0.36
# - size of the total moment (μB/cell) = 0.09
# - uncorrected energy (eV per atom) = -5.09
# - ρ (g/cm³) = 3.97


No. 14
# LiLa2Y (GGA-PBE, relaxed)
data_LiLa2Y
_cell_length_a 4.9393
_cell_length_b 4.9393
_cell_length_c 10.4700
_cell_angle_alpha 90.00
_cell_angle_beta 90.00
_cell_angle_gamma 90.00
_space_group_name_H-M_alt 'I -4 m 2'
_space_group_IT_number 119
_space_group_name_Hall 'I -4 -2'
loop_
_atom_site_label
_atom_site_fract_x
_atom_site_fract_y
_atom_site_fract_z
Li1 0.0000 0.0000 0.0000
La1 0.0000 0.0000 0.5000
La2 0.0000 0.5000 0.2500
Y1 0.0000 0.5000 0.7500
# - DFT formation energy (eV per atom) = 0.17
# - relative energy among the computed polymorphs (eV/f.u.) = 0.44
# - size of the total moment (μB/cell) = 0.00
# - uncorrected energy (eV per atom) = -4.39
# - ρ (g/cm³) = 4.86